[1]
An optimized crystal structure of Na3Cd2Cl7. Source: Alexandria, functional PBE-GGA.

Cell: 7.3044 6.8969 12.3571 Å, 106.20 90.00 90.00°
Atoms (fractional coordinates):
Cd (0.7509, 0.1425, 0.7900)
Cd (0.7509, 0.3524, 0.2100)
Cd (0.2509, 0.8575, 0.2100)
Cd (0.2509, 0.6476, 0.7900)
Cl (0.9312, 0.8531, 0.8488)
Cl (0.9312, 0.0043, 0.1512)
Cl (0.7004, 0.9166, 0.5865)
Cl (0.0552, 0.5719, 0.2672)
Cl (0.2004, 0.6700, 0.5865)
Cl (0.5552, 0.6953, 0.2672)
Cl (0.8001, 0.3818, 0.0000)
Cl (0.5552, 0.4281, 0.7328)
Cl (0.4312, 0.1469, 0.1512)
Cl (0.2004, 0.0834, 0.4135)
Cl (0.7004, 0.3300, 0.4135)
Cl (0.3001, 0.6182, 0.0000)
Cl (0.4312, 0.9957, 0.8488)
Cl (0.0552, 0.3047, 0.7328)
Na (0.8397, 0.9462, 0.3829)
Na (0.8397, 0.5633, 0.6171)
Na (0.3397, 0.4367, 0.3829)
Na (0.1651, 0.2271, 0.0000)
Na (0.6651, 0.7729, 0.0000)
Na (0.3397, 0.0538, 0.6171)

Computed properties:
- Total energy: -71.7 eV for the cell shown

***

[2]
An optimized crystal structure of CaVH. Source: Alexandria, functional PBE-GGA.

Cell: 3.1415 5.6859 5.8101 Å, 72.33 92.42 86.22°
Atoms (fractional coordinates):
H (0.6907, 0.0191, 0.9057)
H (0.2589, 0.9125, 0.2714)
V (0.3896, 0.4565, 0.7402)
V (0.1875, 0.1695, 0.9624)
Ca (0.7530, 0.0092, 0.5276)
Ca (0.7936, 0.6317, 0.1692)

Computed properties:
- Relative energy among the computed polymorphs: 252.5 meV/atom

***

[3]
An optimized crystal structure of CoRe2AsN. Source: Alexandria, functional PBE-GGA.

Cell: 4.5715 4.2017 4.5715 Å, 90.00 90.00 90.00°
Atoms (fractional coordinates):
Re (0.5000, 0.0000, 0.0000)
Re (0.0000, 0.0000, 0.5000)
N (0.5000, 0.5000, 0.5000)
As (0.0000, 0.0000, 0.0000)
Co (0.0000, 0.5000, 0.0000)

Computed properties:
- Total energy: -32.0 eV for the cell shown

***

[4]
An optimized crystal structure of TbTm5Te6. Source: Alexandria, functional PBE-GGA.

Cell: 7.4561 7.4810 7.4684 Å, 59.94 80.44 70.64°
Atoms (fractional coordinates):
Tm (0.0000, 0.3336, 0.3328)
Tm (0.5000, 0.1589, 0.6823)
Tm (0.5000, 0.5000, 0.0000)
Tm (0.5000, 0.8411, 0.3177)
Tm (0.0000, 0.6664, 0.6672)
Te (0.7453, 0.4245, 0.6600)
Te (0.7527, 0.7429, 0.0000)
Te (0.2473, 0.2571, 0.0000)
Te (0.2547, 0.9155, 0.6600)
Te (0.2547, 0.5755, 0.3400)
Te (0.7453, 0.0845, 0.3400)
Tb (0.0000, 0.0000, 0.0000)

Computed properties:
- Total energy: -60.1 eV for the cell shown